[1]
## Sb2CS (PBE)

Data for an optimized crystal structure of Sb2CS.

Cell: 6.5632 6.5632 6.1150 Å, 57.54 57.54 90.00°
Closest atoms and distances in Å follow each position.
Fractional positions:
C1 0.2500 0.7500 0.5000  4 Sb 2.28
Sb1 0.1879 0.6250 0.2500  2 C 2.28
Sb2 0.3750 0.4379 0.7500  2 C 2.28
Sb3 0.5621 0.1250 0.2500  2 C 2.28
C2 0.5000 0.5000 0.0000  4 Sb 2.28
Sb4 0.8750 0.8121 0.7500  2 C 2.28
S1 0.0000 0.0000 0.0000  4 Sb 2.81
S2 0.7500 0.2500 0.5000  4 Sb 2.81

Properties
total energy	-4.583	eV per atom
total magnetic moment	0.0	μB/cell
energy relative to the elements, uncorrected	816	meV per atom
relative energy among the computed polymorphs	0	meV/atom

[2]
## SbC2S (PBE)

Data for an optimized crystal structure of SbC2S.

Cell: 4.5486 4.5486 6.5632 Å, 69.73 69.73 90.00°
Closest atoms and distances in Å follow each position.
Fractional positions:
C1 0.3750 0.4137 0.7500  2 S 2.06, 2 Sb 2.25
S1 0.2500 0.7500 0.5000  4 C 2.06
C2 0.5863 0.1250 0.2500  2 S 2.06, 2 Sb 2.25
C3 0.8750 0.8363 0.7500  2 S 2.06, 2 Sb 2.25
Sb1 0.0000 0.0000 0.0000  4 C 2.25
C4 0.1637 0.6250 0.2500  2 S 2.06, 2 Sb 2.25
Sb2 0.7500 0.2500 0.5000  4 C 2.25
S2 0.5000 0.5000 0.0000  4 C 2.06

Properties
total energy	-4.920	eV per atom
total magnetic moment	0.0	μB/cell
energy relative to the elements, uncorrected	1754	meV per atom
relative energy among the computed polymorphs	0	meV/atom

[3]
## SbCS2 (PBE)

Data for an optimized crystal structure of SbCS2.

Cell: 4.5523 4.5523 4.5523 Å, 60.00 60.00 60.00°
Closest atoms and distances in Å follow each position.
Fractional positions:
S1 0.2500 0.2500 0.2500  4 Sb 2.79, 4 C 2.79
C1 0.0000 0.0000 0.0000  8 S 2.79
Sb1 0.5000 0.5000 0.5000  8 S 2.79
S2 0.7500 0.7500 0.7500  4 Sb 2.79, 4 C 2.79

Properties
total energy	-3.808	eV per atom
total magnetic moment	0.0	μB/cell
energy relative to the elements, uncorrected	1593	meV per atom
relative energy among the computed polymorphs	995	meV/atom

[4]
## SbCS3 (PBE)

Data for an optimized crystal structure of SbCS3.

Cell: 4.9766 4.9766 4.9766 Å, 90.00 90.00 90.00°
Closest atoms and distances in Å follow each position.
Fractional positions:
S1 0.5000 0.0000 0.0000  2 Sb 2.49
C1 0.5000 0.5000 0.5000  12 S 3.52
Sb1 0.0000 0.0000 0.0000  6 S 2.49
S2 0.0000 0.0000 0.5000  2 Sb 2.49
S3 0.0000 0.5000 0.0000  2 Sb 2.49

Properties
total energy	-3.129	eV per atom
total magnetic moment	0.0	μB/cell
energy relative to the elements, uncorrected	2017	meV per atom
relative energy among the computed polymorphs	1032	meV/atom

[5]
## Sb2CS (PBE)

Data for an optimized crystal structure of Sb2CS.

Cell: 4.6993 4.6993 4.6993 Å, 60.00 60.00 60.00°
Closest atoms and distances in Å follow each position.
Fractional positions:
Sb1 0.7500 0.7500 0.7500  4 S 2.88, 4 C 2.88
C1 0.0000 0.0000 0.0000  8 Sb 2.88
S1 0.5000 0.5000 0.5000  8 Sb 2.88
Sb2 0.2500 0.2500 0.2500  4 S 2.88, 4 C 2.88

Properties
total energy	-4.075	eV per atom
total magnetic moment	0.0	μB/cell
energy relative to the elements, uncorrected	1324	meV per atom
relative energy among the computed polymorphs	509	meV/atom

[6]
## SbCS2 (PBE)

Data for an optimized crystal structure of SbCS2.

Cell: 8.0251 8.0251 8.0251 Å, 23.06 23.06 23.06°
Closest atoms and distances in Å follow each position.
Fractional positions:
Sb1 0.0000 0.0000 0.0000  2 S 2.70
S1 0.1153 0.1153 0.1153  3 C 2.21
C1 0.5000 0.5000 0.5000  6 S 2.21
S2 0.8847 0.8847 0.8847  3 C 2.21

Properties
total energy	-4.203	eV per atom
total magnetic moment	0.0	μB/cell
energy relative to the elements, uncorrected	1197	meV per atom
relative energy among the computed polymorphs	600	meV/atom